Record 1
A plane-wave DFT calculation with PBE-GGA was carried out for Ca2BiTe2 after structural relaxation.

Unit cell a=8.8639 b=8.8639 c=4.0257 alpha=90.00 beta=90.00 gamma=90.00
With the nearest neighbours (Å) after each atom.
Fractional positions:
Ca 0.8447 0.3447 0.5000  6 Te 3.16-3.37
Ca 0.3447 0.1553 0.5000  6 Te 3.16-3.37
Ca 0.1553 0.6553 0.5000  6 Te 3.16-3.37
Ca 0.6553 0.8447 0.5000  6 Te 3.16-3.37
Te 0.6500 0.1500 0.0000  6 Ca 3.16-3.37, 2 Bi 3.38
Te 0.8500 0.6500 0.0000  6 Ca 3.16-3.37, 2 Bi 3.38
Te 0.1500 0.3500 0.0000  6 Ca 3.16-3.37, 2 Bi 3.38
Te 0.3500 0.8500 0.0000  6 Ca 3.16-3.37, 2 Bi 3.38
Bi 0.5000 0.5000 0.0000  4 Te 3.38
Bi 0.0000 0.0000 0.0000  4 Te 3.38

Computed properties:
- Size of the total moment: 0.000 μB/f.u.
- Formation energy from raw total energies: -966 meV per atom
- Crystal system: tetragonal
- DOS at the Fermi energy: 4.41 states/eV per cell
- Space group: No. 127


Record 2
A plane-wave DFT calculation with PBE-GGA was carried out for CaBiTe2 after structural relaxation.

Unit cell a=9.9532 b=9.9532 c=9.9532 alpha=26.30 beta=26.30 gamma=26.30
With the nearest neighbours (Å) after each atom.
Fractional positions:
Ca 0.0000 0.0000 0.0000  2 Te 3.04
Te 0.8944 0.8944 0.8944  1 Ca 3.04, 3 Bi 3.15
Te 0.1056 0.1056 0.1056  1 Ca 3.04, 3 Bi 3.15
Bi 0.5000 0.5000 0.5000  6 Te 3.15

Computed properties:
- Size of the total moment: 0.000 μB/f.u.
- Formation energy from raw total energies: -334 meV per atom
- Crystal system: trigonal
- DOS at the Fermi energy: 1.40 states/eV per cell
- Space group: No. 166


Record 3
A plane-wave DFT calculation with PBE-GGA was carried out for CaBi2Te4 after structural relaxation.

Unit cell a=4.4305 b=7.6277 c=15.3782 alpha=90.00 beta=90.00 gamma=106.88
With the nearest neighbours (Å) after each atom.
Fractional positions:
Ca 0.6154 0.2308 0.7500  6 Te 3.12-3.37
Ca 0.3846 0.7692 0.2500  6 Te 3.12-3.37
Te 0.9653 0.9305 0.7500  2 Bi 3.08, 2 Ca 3.12
Te 0.2207 0.4414 0.6187  3 Bi 3.14-3.21, 2 Ca 3.37
Te 0.5000 0.0000 0.0000  4 Bi 3.17
Te 0.2207 0.4414 0.8813  3 Bi 3.14-3.21, 2 Ca 3.37
Te 0.7793 0.5586 0.1187  3 Bi 3.14-3.21, 2 Ca 3.37
Te 0.5000 0.0000 0.5000  4 Bi 3.17
Te 0.7793 0.5586 0.3813  3 Bi 3.14-3.21, 2 Ca 3.37
Te 0.0347 0.0695 0.2500  2 Bi 3.08, 2 Ca 3.12
Bi 0.8651 0.7302 0.9264  6 Te 3.08-3.21
Bi 0.8651 0.7302 0.5736  6 Te 3.08-3.21
Bi 0.1349 0.2698 0.4264  6 Te 3.08-3.21
Bi 0.1349 0.2698 0.0736  6 Te 3.08-3.21

Computed properties:
- Size of the total moment: 0.000 μB/f.u.
- Relative energy among the computed polymorphs: 0.073 eV per atom
- Formation energy from raw total energies: -548 meV per atom
- Crystal system: orthorhombic
- Space group: No. 63


Record 4
A plane-wave DFT calculation with PBE-GGA was carried out for CaBi2Te4 after structural relaxation.

Unit cell a=4.4710 b=4.4710 c=14.7081 alpha=81.26 beta=81.26 gamma=60.00
With the nearest neighbours (Å) after each atom.
Fractional positions:
Te 0.1297 0.1297 0.6109  3 Bi 3.09
Te 0.8703 0.8703 0.3891  3 Bi 3.09
Te 0.2902 0.2902 0.1293  3 Ca 3.19, 3 Bi 3.31
Te 0.7098 0.7098 0.8707  3 Ca 3.19, 3 Bi 3.31
Ca 0.0000 0.0000 0.0000  6 Te 3.19
Bi 0.5759 0.5759 0.2723  6 Te 3.09-3.31
Bi 0.4241 0.4241 0.7277  6 Te 3.09-3.31

Computed properties:
- Size of the total moment: 0.000 μB/f.u.
- Relative energy among the computed polymorphs: 0.000 eV per atom
- Formation energy from raw total energies: -621 meV per atom
- Crystal system: trigonal
- Space group: No. 166


Record 5
A plane-wave DFT calculation with PBE-GGA was carried out for Ca2Bi2Te after structural relaxation.

Unit cell a=6.2281 b=6.2281 c=6.4208 alpha=60.99 beta=60.99 gamma=90.00
With the nearest neighbours (Å) after each atom.
Fractional positions:
Bi 0.6635 0.6635 0.6730  1 Bi 3.06, 1 Te 3.14, 4 Ca 3.22
Bi 0.3365 0.3365 0.3270  1 Bi 3.06, 1 Te 3.14, 4 Ca 3.22
Te 0.0000 0.0000 0.0000  2 Bi 3.14
Ca 0.2500 0.7500 0.5000  4 Bi 3.22
Ca 0.7500 0.2500 0.5000  4 Bi 3.22

Computed properties:
- Size of the total moment: 0.000 μB/f.u.
- Relative energy among the computed polymorphs: 0.202 eV per atom
- Formation energy from raw total energies: -514 meV per atom
- Crystal system: tetragonal
- DOS at the Fermi energy: 4.84 states/eV per cell
- Space group: No. 139


Record 6
A plane-wave DFT calculation with PBE-GGA was carried out for Ca3BiTe after structural relaxation.

Unit cell a=5.8117 b=5.8117 c=5.8117 alpha=90.00 beta=90.00 gamma=90.00
With the nearest neighbours (Å) after each atom.
Fractional positions:
Ca 0.0000 0.0000 0.5000  2 Te 2.91
Ca 0.0000 0.5000 0.0000  2 Te 2.91
Ca 0.5000 0.0000 0.0000  2 Te 2.91
Bi 0.5000 0.5000 0.5000  12 Ca 4.11
Te 0.0000 0.0000 0.0000  6 Ca 2.91

Computed properties:
- Size of the total moment: 0.000 μB/f.u.
- Relative energy among the computed polymorphs: 0.438 eV per atom
- Formation energy from raw total energies: -622 meV per atom
- Crystal system: cubic
- DOS at the Fermi energy: 6.09 states/eV per cell
- Space group: No. 221


Record 7
A plane-wave DFT calculation with PBE-GGA was carried out for CaBiTe after structural relaxation.

Unit cell a=3.8946 b=6.5061 c=9.3212 alpha=98.97 beta=90.00 gamma=107.42
With the nearest neighbours (Å) after each atom.
Fractional positions:
Bi 0.9322 0.8644 0.6436  1 Te 2.96
Bi 0.0678 0.1356 0.3564  1 Te 2.96
Te 0.8360 0.6720 0.9143  1 Bi 2.96, 2 Ca 3.08
Te 0.1640 0.3280 0.0857  1 Bi 2.96, 2 Ca 3.08
Ca 0.7934 0.5868 0.3054  2 Te 3.08, 2 Bi 3.34-3.36
Ca 0.2066 0.4132 0.6946  2 Te 3.08, 2 Bi 3.34-3.36

Computed properties:
- Size of the total moment: 0.000 μB/f.u.
- Formation energy from raw total energies: -513 meV per atom
- Crystal system: monoclinic
- DOS at the Fermi energy: 2.41 states/eV per cell
- Space group: No. 12


Record 8
A plane-wave DFT calculation with PBE-GGA was carried out for CaBi3Te after structural relaxation.

Unit cell a=5.8895 b=5.8895 c=5.8895 alpha=90.00 beta=90.00 gamma=90.00
With the nearest neighbours (Å) after each atom.
Fractional positions:
Ca 0.5000 0.5000 0.5000  12 Bi 4.16
Bi 0.5000 0.0000 0.0000  2 Te 2.94
Bi 0.0000 0.5000 0.0000  2 Te 2.94
Bi 0.0000 0.0000 0.5000  2 Te 2.94
Te 0.0000 0.0000 0.0000  6 Bi 2.94

Computed properties:
- Size of the total moment: 0.000 μB/f.u.
- Relative energy among the computed polymorphs: 0.000 eV per atom
- Formation energy from raw total energies: 282 meV per atom
- Crystal system: cubic
- DOS at the Fermi energy: 4.71 states/eV per cell
- Space group: No. 221


Record 9
A plane-wave DFT calculation with PBE-GGA was carried out for Ca2Bi2Te after structural relaxation.

Unit cell a=8.6036 b=8.6036 c=4.4873 alpha=90.00 beta=90.00 gamma=90.00
With the nearest neighbours (Å) after each atom.
Fractional positions:
Ca 0.6755 0.8245 0.5000  6 Bi 3.29-3.46
Ca 0.8245 0.3245 0.5000  6 Bi 3.29-3.46
Ca 0.1755 0.6755 0.5000  6 Bi 3.29-3.46
Ca 0.3245 0.1755 0.5000  6 Bi 3.29-3.46
Bi 0.8734 0.6266 0.0000  1 Bi 3.08, 2 Ca 3.29, 2 Te 3.39
Bi 0.3734 0.8734 0.0000  1 Bi 3.08, 2 Ca 3.29, 2 Te 3.39
Bi 0.1266 0.3734 0.0000  1 Bi 3.08, 2 Ca 3.29, 2 Te 3.39
Bi 0.6266 0.1266 0.0000  1 Bi 3.08, 2 Ca 3.29, 2 Te 3.39
Te 0.5000 0.5000 0.0000  4 Bi 3.39
Te 0.0000 0.0000 0.0000  4 Bi 3.39

Computed properties:
- Size of the total moment: 0.000 μB/f.u.
- Relative energy among the computed polymorphs: 0.092 eV per atom
- Formation energy from raw total energies: -623 meV per atom
- Crystal system: tetragonal
- DOS at the Fermi energy: 2.61 states/eV per cell
- Space group: No. 127


Record 10
A plane-wave DFT calculation with PBE-GGA was carried out for Ca4BiTe2 after structural relaxation.

Unit cell a=8.5945 b=8.5945 c=8.5945 alpha=110.28 beta=109.07 gamma=109.07
With the nearest neighbours (Å) after each atom.
Fractional positions:
Bi 0.5000 0.7500 0.2500  4 Ca 3.18
Bi 0.0000 0.0000 0.0000  4 Ca 3.18
Ca 0.3127 0.2482 0.9355  3 Te 3.11-3.17, 1 Bi 3.18
Ca 0.6873 0.0645 0.7518  3 Te 3.11-3.17, 1 Bi 3.18
Ca 0.1873 0.6855 0.8728  3 Te 3.11-3.17, 1 Bi 3.18
Ca 0.6873 0.6228 0.9355  3 Te 3.11-3.17, 1 Bi 3.18
Ca 0.8127 0.6855 0.4982  3 Te 3.11-3.17, 1 Bi 3.18
Ca 0.8127 0.1272 0.3145  3 Te 3.11-3.17, 1 Bi 3.18
Ca 0.1873 0.5018 0.3145  3 Te 3.11-3.17, 1 Bi 3.18
Ca 0.3127 0.0645 0.3772  3 Te 3.11-3.17, 1 Bi 3.18
Te 0.2500 0.8750 0.6250  6 Ca 3.11-3.17
Te 0.2500 0.3750 0.6250  6 Ca 3.11-3.17
Te 0.7500 0.3750 0.6250  6 Ca 3.11-3.17
Te 0.7500 0.3750 0.1250  6 Ca 3.11-3.17

Computed properties:
- Size of the total moment: 0.735 μB/f.u.
- Formation energy from raw total energies: -1137 meV per atom
- Crystal system: tetragonal
- DOS at the Fermi energy: 5.81 states/eV per cell
- Space group: No. 141


Record 11
A plane-wave DFT calculation with PBE-GGA was carried out for CaBiTe2 after structural relaxation.

Unit cell a=10.4448 b=10.4448 c=10.4448 alpha=22.35 beta=22.35 gamma=22.35
With the nearest neighbours (Å) after each atom.
Fractional positions:
Te 0.0992 0.0992 0.0992  1 Bi 3.03, 3 Ca 3.11
Te 0.9008 0.9008 0.9008  1 Bi 3.03, 3 Ca 3.11
Bi 0.0000 0.0000 0.0000  2 Te 3.03
Ca 0.5000 0.5000 0.5000  6 Te 3.11

Computed properties:
- Size of the total moment: 0.000 μB/f.u.
- Formation energy from raw total energies: -489 meV per atom
- Crystal system: trigonal
- DOS at the Fermi energy: 3.08 states/eV per cell
- Space group: No. 166


Record 12
A plane-wave DFT calculation with PBE-GGA was carried out for CaBiTe3 after structural relaxation.

Unit cell a=5.8918 b=5.8918 c=5.8918 alpha=90.00 beta=90.00 gamma=90.00
With the nearest neighbours (Å) after each atom.
Fractional positions:
Te 0.0000 0.0000 0.5000  2 Bi 2.95
Te 0.0000 0.5000 0.0000  2 Bi 2.95
Te 0.5000 0.0000 0.0000  2 Bi 2.95
Bi 0.0000 0.0000 0.0000  6 Te 2.95
Ca 0.5000 0.5000 0.5000  12 Te 4.17

Computed properties:
- Size of the total moment: 0.000 μB/f.u.
- Relative energy among the computed polymorphs: 0.000 eV per atom
- Formation energy from raw total energies: -125 meV per atom
- Crystal system: cubic
- DOS at the Fermi energy: 3.83 states/eV per cell
- Space group: No. 221